Record 1
Tb6NdIn4 | GGA-PBE | optimized geometry

Lattice parameters (Å, degrees): 3.7304 10.1690 10.1690 120.00 90.00 90.00
Last column: nearest neighbours and their distance in Å.
Positions (direct):
Nd 0.0000 0.0000 0.0000  6 In 3.42, 2 Nd 3.73
Tb 0.0000 0.9234 0.4617  5 In 3.29-3.61
Tb 0.5000 0.1911 0.8089  4 In 3.12-3.14
In 0.0000 0.3333 0.6667  6 Tb 3.12
Tb 0.5000 0.1911 0.3822  4 In 3.12-3.14
Tb 0.0000 0.5383 0.4617  5 In 3.29-3.61
In 0.5000 0.3251 0.1626  6 Tb 3.14-3.29, 2 Nd 3.42
In 0.5000 0.8374 0.1626  6 Tb 3.14-3.29, 2 Nd 3.42
Tb 0.0000 0.5383 0.0766  5 In 3.29-3.61
In 0.5000 0.8374 0.6749  6 Tb 3.14-3.29, 2 Nd 3.42
Tb 0.5000 0.6178 0.8089  4 In 3.12-3.14

electronic total energy = -46.75 eV/f.u.
size of the total moment = 2.3 μB per formula unit
space group = P-6m2

Record 2
Tb7Nd12In | GGA-PBE | optimized geometry

Lattice parameters (Å, degrees): 8.7855 8.7855 8.7855 89.24 89.24 89.24
Last column: nearest neighbours and their distance in Å.
Positions (direct):
Tb 0.5000 0.5000 0.5000  6 Nd 3.29
Nd 0.7374 0.8702 0.2614  5 Nd 3.30-3.62, 1 In 3.43, 1 Tb 3.63
Nd 0.6152 0.1428 0.4952  4 Nd 3.24-3.53, 2 Tb 3.29-3.62
Tb 0.6199 0.9375 0.8550  3 Tb 3.46-3.52, 6 Nd 3.62-3.81, 1 In 3.64
Tb 0.8550 0.6199 0.9375  3 Tb 3.46-3.52, 6 Nd 3.62-3.81, 1 In 3.64
Nd 0.2626 0.1298 0.7386  5 Nd 3.30-3.62, 1 In 3.43, 1 Tb 3.63
Nd 0.8702 0.2614 0.7374  5 Nd 3.30-3.62, 1 In 3.43, 1 Tb 3.63
Tb 0.0625 0.1450 0.3801  3 Tb 3.46-3.52, 6 Nd 3.62-3.81, 1 In 3.64
Nd 0.4952 0.6152 0.1428  4 Nd 3.24-3.53, 2 Tb 3.29-3.62
Tb 0.9375 0.8550 0.6199  3 Tb 3.46-3.52, 6 Nd 3.62-3.81, 1 In 3.64
Nd 0.1428 0.4952 0.6152  4 Nd 3.24-3.53, 2 Tb 3.29-3.62
Nd 0.1298 0.7386 0.2626  5 Nd 3.30-3.62, 1 In 3.43, 1 Tb 3.63
Nd 0.3848 0.8572 0.5048  4 Nd 3.24-3.53, 2 Tb 3.29-3.62
Nd 0.2614 0.7374 0.8702  5 Nd 3.30-3.62, 1 In 3.43, 1 Tb 3.63
Tb 0.1450 0.3801 0.0625  3 Tb 3.46-3.52, 6 Nd 3.62-3.81, 1 In 3.64
In 0.0000 0.0000 0.0000  6 Nd 3.43, 6 Tb 3.64
Nd 0.5048 0.3848 0.8572  4 Nd 3.24-3.53, 2 Tb 3.29-3.62
Tb 0.3801 0.0625 0.1450  3 Tb 3.46-3.52, 6 Nd 3.62-3.81, 1 In 3.64
Nd 0.8572 0.5048 0.3848  4 Nd 3.24-3.53, 2 Tb 3.29-3.62
Nd 0.7386 0.2626 0.1298  5 Nd 3.30-3.62, 1 In 3.43, 1 Tb 3.63

electronic total energy = -89.51 eV/f.u.
size of the total moment = 0.0 μB per formula unit
space group = R-3

Record 3
Tb3Nd2In | GGA-PBE | optimized geometry

Lattice parameters (Å, degrees): 3.4145 11.7101 7.8967 137.86 102.49 90.00
Last column: nearest neighbours and their distance in Å.
Positions (direct):
Nd 0.1719 0.9135 0.3437  1 In 3.30, 3 Tb 3.35-3.42, 3 Nd 3.41-3.45
Tb 0.3388 0.3277 0.6775  1 In 3.16, 4 Tb 3.24-3.42, 3 Nd 3.35-3.42
Tb 0.0000 0.0243 0.0000  2 In 3.22, 4 Tb 3.41-3.42
Tb 0.6612 0.6502 0.3225  1 In 3.16, 4 Tb 3.24-3.42, 3 Nd 3.35-3.42
In 0.5000 0.2574 0.0000  4 Tb 3.16-3.22, 2 Nd 3.30, 2 In 3.41
Nd 0.8281 0.5698 0.6563  1 In 3.30, 3 Tb 3.35-3.42, 3 Nd 3.41-3.45

electronic total energy = -24.71 eV/f.u.
size of the total moment = 0.0 μB per formula unit
space group = Imm2

Record 4
TbNd4In | GGA-PBE | optimized geometry

Lattice parameters (Å, degrees): 8.9539 8.9539 8.9539 98.40 98.40 135.05
Last column: nearest neighbours and their distance in Å.
Positions (direct):
In 0.7711 0.7711 0.0000  6 Nd 3.06-3.31, 1 Tb 3.38
Nd 0.7356 0.9967 0.2611  2 In 3.06-3.16, 1 Nd 3.39
Tb 0.0266 0.5266 0.5000  6 Nd 3.07-3.43, 1 In 3.38
Tb 0.2766 0.2766 0.0000  6 Nd 3.07-3.43, 1 In 3.38
Nd 0.7207 0.4905 0.2302  2 Tb 3.07-3.17, 1 In 3.31, 1 Nd 3.39
Nd 0.7356 0.4745 0.7389  2 In 3.06-3.16, 1 Nd 3.39
Nd 0.2405 0.9707 0.7302  2 Tb 3.07-3.17, 1 In 3.31, 1 Nd 3.39
Nd 0.2405 0.5103 0.2698  2 Tb 3.07-3.17, 1 In 3.31, 1 Nd 3.39
Nd 0.2603 0.4905 0.7698  2 Tb 3.07-3.17, 1 In 3.31, 1 Nd 3.39
Nd 0.2245 0.9856 0.2389  2 In 3.06-3.16, 1 Nd 3.39
Nd 0.7467 0.9856 0.7611  2 In 3.06-3.16, 1 Nd 3.39
In 0.5211 0.0211 0.5000  6 Nd 3.06-3.31, 1 Tb 3.38

electronic total energy = -24.14 eV/f.u.
size of the total moment = 0.0 μB per formula unit
space group = I4_1md

Record 5
Tb2Nd5In4 | GGA-PBE | optimized geometry

Lattice parameters (Å, degrees): 3.4672 8.8068 10.7571 84.56 90.00 90.00
Last column: nearest neighbours and their distance in Å.
Positions (direct):
Nd 0.0000 0.5000 0.0000  4 In 3.33, 6 Nd 3.47-3.59
Tb 0.0000 0.0818 0.3625  3 Tb 3.16-3.47, 6 In 3.19-3.36, 2 Nd 3.32-3.33
Nd 0.0000 0.1577 0.8591  1 Tb 3.33, 6 In 3.39-3.59, 3 Nd 3.47-3.50
In 0.5000 0.7570 0.4232  4 Tb 3.31-3.36, 6 Nd 3.35-3.54, 2 In 3.47
Nd 0.0000 0.4605 0.3348  1 Tb 3.32, 4 In 3.35-3.54, 4 Nd 3.47-3.68
Nd 0.0000 0.5395 0.6652  1 Tb 3.32, 4 In 3.35-3.54, 4 Nd 3.47-3.68
In 0.5000 0.2010 0.1243  2 Tb 3.19, 4 Nd 3.33-3.39, 2 In 3.47
Nd 0.0000 0.8423 0.1409  1 Tb 3.33, 6 In 3.39-3.59, 3 Nd 3.47-3.50
Tb 0.0000 0.9182 0.6375  3 Tb 3.16-3.47, 6 In 3.19-3.36, 2 Nd 3.32-3.33
In 0.5000 0.7990 0.8757  2 Tb 3.19, 4 Nd 3.33-3.39, 2 In 3.47
In 0.5000 0.2430 0.5768  4 Tb 3.31-3.36, 6 Nd 3.35-3.54, 2 In 3.47

electronic total energy = -47.27 eV/f.u.
size of the total moment = 0.0 μB per formula unit
space group = P2/m

Record 6
TbNd5In4 | GGA-PBE | optimized geometry

Lattice parameters (Å, degrees): 3.6475 3.6475 22.6119 90.00 90.00 90.00
Last column: nearest neighbours and their distance in Å.
Positions (direct):
Nd 0.5000 0.5000 0.8853  4 In 3.36, 4 Nd 3.65, 4 Tb 3.66
In 0.0000 0.0000 0.5966  8 Nd 3.38, 4 In 3.65
Nd 0.5000 0.5000 0.1147  4 In 3.36, 4 Nd 3.65, 4 Tb 3.66
In 0.0000 0.0000 0.4034  8 Nd 3.38, 4 In 3.65
In 0.0000 0.0000 0.7899  8 Nd 3.36-3.38, 4 In 3.65
Nd 0.5000 0.5000 0.6933  8 In 3.38, 4 Nd 3.65
In 0.0000 0.0000 0.2101  8 Nd 3.36-3.38, 4 In 3.65
Tb 0.0000 0.0000 0.0000  4 Tb 3.65, 8 Nd 3.66
Nd 0.5000 0.5000 0.5000  8 In 3.38, 4 Nd 3.65
Nd 0.5000 0.5000 0.3067  8 In 3.38, 4 Nd 3.65

electronic total energy = -43.17 eV/f.u.
size of the total moment = 0.0 μB per formula unit
space group = P4/mmm

Listing formation energy from the elements for the structures above in their given order: -295; 143; 243; 383; -292; -375 meV per atom.